No. 1
{
  "formula": "NaEuSnBi",
  "functional": "PBE",
  "state": "optimized geometry",
  "cell": [[-3.8813, 1.4137, 3.6961], [1.1244, -0.2250, 5.4230], [0.5265, 4.6832, 2.9179]],
  "species": ["Na", "Sn", "Eu", "Bi"],
  "fractional_positions": [[0.5000, 0.5000, 0.5000], [0.2500, 0.2500, 0.2500], [0.0000, 0.0000, 0.0000], [0.7500, 0.7500, 0.7500]],
  "energy_ev_per_cell": -21.2,
  "magmom_total_mub_per_atom": 1.7252,
  "ef_ev_per_atom": -0.420,
  "spacegroup": "No. 216",
  "crystal_system": "cubic"
}

No. 2
{
  "formula": "EuNbBi2",
  "functional": "PBE",
  "state": "optimized geometry",
  "cell": [[-0.4316, -1.1810, -3.3944], [3.2382, -1.6108, 0.1487], [-3.4954, -6.7685, 2.7993]],
  "species": ["Bi", "Nb", "Eu", "Bi"],
  "fractional_positions": [[0.0000, 0.0000, 0.7904], [0.5000, 0.5000, 0.0000], [0.5000, 0.5000, 0.5000], [0.0000, 0.0000, 0.2096]],
  "energy_ev_per_cell": -28.8,
  "magmom_total_mub_per_atom": 1.7276,
  "ef_ev_per_atom": -0.181,
  "spacegroup": "No. 123",
  "crystal_system": "tetragonal"
}

No. 3
{
  "formula": "SrEuNbBiO6",
  "functional": "PBE",
  "state": "optimized geometry",
  "cell": [[0.0000, 4.2986, 4.2986], [4.2986, 0.0000, 4.2986], [4.2986, 4.2986, 0.0000]],
  "species": ["O", "O", "Nb", "O", "Bi", "O", "O", "Eu", "O", "Sr"],
  "fractional_positions": [[0.7331, 0.7331, 0.2669], [0.2669, 0.7331, 0.2669], [0.5000, 0.5000, 0.5000], [0.7331, 0.2669, 0.7331], [0.0000, 0.0000, 0.0000], [0.2669, 0.7331, 0.7331], [0.7331, 0.2669, 0.2669], [0.2500, 0.2500, 0.2500], [0.2669, 0.2669, 0.7331], [0.7500, 0.7500, 0.7500]],
  "de_polymorph_ev_per_atom": 0.1527,
  "energy_ev_per_cell": -78.6,
  "magmom_total_mub_per_atom": 0.7000,
  "e_form_raw_mev_per_atom": -2290,
  "spacegroup": "No. 216",
  "crystal_system": "cubic"
}

Please write out number 3 again, unchanged.
{
  "formula": "SrEuNbBiO6",
  "functional": "PBE",
  "state": "optimized geometry",
  "cell": [[0.0000, 4.2986, 4.2986], [4.2986, 0.0000, 4.2986], [4.2986, 4.2986, 0.0000]],
  "species": ["O", "O", "Nb", "O", "Bi", "O", "O", "Eu", "O", "Sr"],
  "fractional_positions": [[0.7331, 0.7331, 0.2669], [0.2669, 0.7331, 0.2669], [0.5000, 0.5000, 0.5000], [0.7331, 0.2669, 0.7331], [0.0000, 0.0000, 0.0000], [0.2669, 0.7331, 0.7331], [0.7331, 0.2669, 0.2669], [0.2500, 0.2500, 0.2500], [0.2669, 0.2669, 0.7331], [0.7500, 0.7500, 0.7500]],
  "de_polymorph_ev_per_atom": 0.1527,
  "energy_ev_per_cell": -78.6,
  "magmom_total_mub_per_atom": 0.7000,
  "e_form_raw_mev_per_atom": -2290,
  "spacegroup": "No. 216",
  "crystal_system": "cubic"
}